Density functional theory data (PBE+U) for MnH10SeO9 after structural relaxation.

Raw total energy   -0.390 Ry/atom

Cell: 6.3228 6.4245 11.1329 Å, 75.65 81.85 70.48°
Space group P-1 (No. 2)
One atom of each set of equivalent atoms:
Mn 0.0000 0.0000 0.0000 (multiplicity 1)
Mn 0.0000 0.5000 0.5000 (multiplicity 1)
H 0.1015 0.3151 0.0980 (multiplicity 2)
H 0.1158 0.1612 0.7097 (multiplicity 2)
H 0.1660 0.6332 0.8738 (multiplicity 2)
H 0.2412 0.7910 0.5044 (multiplicity 2)
H 0.2621 0.6170 0.6372 (multiplicity 2)
H 0.2821 0.9267 0.3009 (multiplicity 2)
H 0.3080 0.1058 0.3678 (multiplicity 2)
H 0.3501 0.1516 0.6328 (multiplicity 2)
H 0.3548 0.1803 0.8679 (multiplicity 2)
H 0.4430 0.9074 0.8889 (multiplicity 2)
Se 0.3554 0.5146 0.2122 (multiplicity 2)
O 0.0294 0.7304 0.9121 (multiplicity 2)
O 0.1674 0.6915 0.5660 (multiplicity 2)
O 0.1772 0.7794 0.1753 (multiplicity 2)
O 0.1853 0.1918 0.6255 (multiplicity 2)
O 0.2822 0.3951 0.3575 (multiplicity 2)
O 0.3111 0.0413 0.8983 (multiplicity 2)
O 0.3517 0.3550 0.1152 (multiplicity 2)
O 0.3538 0.9409 0.3699 (multiplicity 2)
O 0.3847 0.4664 0.7905 (multiplicity 2)